1.
PBE-GGA Bi2OF4, relaxed; space-group type = R-3m, No. 166; calculated volume = 16.844 Å³ per atom; density of states at the Fermi level = 0.000 states/eV/atom
1.0
2.090 1.207 7.789
-2.090 1.207 7.789
0.000 -2.414 7.789
Bi O F
2 1 4
Direct
0.088 0.088 0.088
0.912 0.912 0.912
0.000 0.000 0.000
0.213 0.213 0.213
0.411 0.411 0.411
0.589 0.589 0.589
0.787 0.787 0.787



2.
PBE-GGA Bi2OF4, relaxed; space-group type = C2/c, No. 15; calculated volume = 15.032 Å³ per atom; density of states at the Fermi level = 0.000 states/eV/atom
1.0
6.517 -2.845 0.000
6.517 2.845 0.000
-1.265 0.000 5.675
Bi O F
4 2 8
Direct
0.109 0.679 0.916
0.321 0.891 0.584
0.679 0.109 0.416
0.891 0.321 0.084
0.038 0.962 0.250
0.962 0.038 0.750
0.156 0.273 0.831
0.273 0.156 0.331
0.301 0.543 0.556
0.457 0.699 0.944
0.543 0.301 0.056
0.699 0.457 0.444
0.727 0.844 0.669
0.844 0.727 0.169



How do the energies compare? Relative to the most stable structure, in kJ/mol of atoms: 1 7.9; 2 0.0.